# 1
A plane-wave DFT calculation with GGA-PBE was carried out for an optimized crystal structure of U2Ga9Pd.

```
12
Lattice="4.260 0.000 0.000 0.000 4.260 0.000 0.000 0.000 12.099" Properties=species:S:1:pos:R:3 pbc="T T T"
U 0.000 0.000 2.165
U 0.000 0.000 9.934
Ga 0.000 2.130 0.000
Ga 0.000 2.130 4.272
Ga 0.000 2.130 7.827
Ga 2.130 0.000 0.000
Ga 2.130 0.000 4.272
Ga 2.130 0.000 7.827
Ga 2.130 2.130 2.036
Ga 2.130 2.130 6.050
Ga 2.130 2.130 10.063
Pd 0.000 0.000 6.050
```

Calculated values
The value obtained for the total magnetization is 4.5 μB per cell. The value obtained for the energy of formation is -22.29 kJ per mole of atoms.

# 2
A plane-wave DFT calculation with GGA-PBE was carried out for an optimized crystal structure of BaMgTlZn.

```
4
Lattice="0.000 3.875 3.875 3.875 0.000 3.875 3.875 3.875 0.000" Properties=species:S:1:pos:R:3 pbc="T T T"
Ba 0.000 0.000 0.000
Mg 3.875 3.875 3.875
Tl 1.937 1.937 1.937
Zn 5.812 5.812 5.812
```

Calculated values
The value obtained for the total magnetization is 0.0 μB per cell. The value obtained for the energy of formation is -15.41 kJ per mole of atoms.

# 3
A plane-wave DFT calculation with GGA-PBE was carried out for an optimized crystal structure of ThPC.

```
6
Lattice="-2.055 2.074 7.801 2.055 -2.074 7.801 2.055 2.074 -7.801" Properties=species:S:1:pos:R:3 pbc="T T T"
Th 0.000 0.000 2.167
Th 0.000 0.000 13.434
P 0.000 0.000 5.078
P 0.000 0.000 10.523
C 1.427 0.000 0.000
C 2.682 0.000 0.000
```

Calculated values
The value obtained for the total magnetization is 0.0 μB per cell. The value obtained for the energy of formation is -41.35 kJ per mole of atoms.